Record 1
This record from Alexandria via LeMat-Bulk describes an optimized crystal structure of Dy5NiRu4. The functional is GGA-PBE.

The structure belongs to space group P4/mmm (No. 123); the cell edges are 3.411, 3.411 and 16.842 Å and the angles 90.00°, 90.00° and 90.00°. The distinct sites, in fractional coordinates, are Dy at (0.000, 0.000, 0.000), Dy at (0.000, 0.000, 0.201), Dy at (0.000, 0.000, 0.400), Ni at (0.500, 0.500, 0.500), Ru at (0.500, 0.500, 0.101) and Ru at (0.500, 0.500, 0.305).

Its calculated volume is 195.9 Å³/f.u. The calculation puts the formation energy at -8.48 kcal/mol of atoms. Its total energy is -6.96 eV/atom.



Record 2
This record from Alexandria via LeMat-Bulk describes an optimized crystal structure of Dy4Ni2Ru. The functional is GGA-PBE.

The structure belongs to space group C2/m (No. 12); the cell edges are 10.741, 4.311 and 8.377 Å and the angles 90.00°, 126.58° and 90.00°. The distinct sites, in fractional coordinates, are Dy at (0.084, 0.000, 0.376), Dy at (0.188, 0.500, 0.087), Ni at (0.139, 0.500, 0.646) and Ru at (0.000, 0.000, 0.000).

Its calculated volume is 155.8 Å³/f.u. The calculation puts the formation energy at -7.53 kcal/mol of atoms. Its total energy is -5.93 eV/atom.



Record 3
This record from Alexandria via LeMat-Bulk describes an optimized crystal structure of Dy8NiRu5. The functional is GGA-PBE.

The structure belongs to space group I-4 (No. 82); the cell edges are 8.513, 8.513 and 8.526 Å and the angles 90.00°, 90.00° and 90.00°. The distinct sites, in fractional coordinates, are Dy at (0.059, 0.185, 0.201), Dy at (0.074, 0.317, 0.573), Ni at (0.000, 0.500, 0.250), Ru at (0.000, 0.000, 0.500) and Ru at (0.136, 0.251, 0.892).

Its calculated volume is 308.9 Å³/f.u. The calculation puts the formation energy at -5.25 kcal/mol of atoms. Its total energy is -6.58 eV/atom.



Record 4
This record from Alexandria via LeMat-Bulk describes an optimized crystal structure of Dy4NiRu2. The functional is GGA-PBE.

The structure belongs to space group R-3m (No. 166, hexagonal axes); the cell edges are 4.7816, 4.7816 and 23.4838 Å and the angles 90.00°, 90.00° and 120.00°. The distinct sites, in fractional coordinates, are Dy at (0.0000, 0.0000, 0.1240), Dy at (0.0000, 0.0000, 0.3744), Ni at (0.0000, 0.0000, 0.5000) and Ru at (0.0000, 0.0000, 0.2477).

Its calculated volume is 155.0 Å³/f.u. The calculation puts the formation energy at -8.01 kcal/mol of atoms. Its total energy is -6.45 eV/atom.



Record 5
This record from Alexandria via LeMat-Bulk describes an optimized crystal structure of DyScNiRu. The functional is GGA-PBE.

The structure belongs to space group F-43m (No. 216); the cell edges are 6.587, 6.587 and 6.587 Å and the angles 90.00°, 90.00° and 90.00°. The distinct sites, in fractional coordinates, are Dy at (0.000, 0.000, 0.000), Sc at (0.000, 0.000, 0.500), Ni at (0.250, 0.250, 0.250) and Ru at (0.250, 0.250, 0.750).

Its calculated volume is 71.5 Å³/f.u. The calculation puts the formation energy at -10.53 kcal/mol of atoms. Its total energy is -6.95 eV/atom.



Record 6
This record from Alexandria via LeMat-Bulk describes an optimized crystal structure of DySi3NiRu. The functional is GGA-PBE.

The structure belongs to space group Cmcm (No. 63); the cell edges are 6.090, 12.854 and 5.521 Å and the angles 90.00°, 90.00° and 90.00°. The distinct sites, in fractional coordinates, are Dy at (0.000, 0.215, 0.250), Si at (0.000, 0.278, 0.750), Si at (0.198, 0.000, 0.000), Ni at (0.000, 0.111, 0.750) and Ru at (0.000, 0.450, 0.750).

Its calculated volume is 108.0 Å³/f.u. As for the raw formation energy: -416.2 meV per atom. Its total energy is -6.40 eV/atom.



Record 7
This record from Alexandria via LeMat-Bulk describes an optimized crystal structure of Dy2Si3Ni4Ru. The functional is GGA-PBE.

The structure belongs to space group P-4m2 (No. 115); the cell edges are 3.913, 3.913 and 9.906 Å and the angles 90.00°, 90.00° and 90.00°. The distinct sites, in fractional coordinates, are Dy at (0.000, 0.500, 0.246), Si at (0.000, 0.500, 0.875), Si at (0.500, 0.500, 0.500), Ni at (0.000, 0.000, 0.000), Ni at (0.000, 0.500, 0.644), Ni at (0.500, 0.500, 0.000) and Ru at (0.000, 0.000, 0.500).

Its calculated volume is 151.7 Å³/f.u. As for the raw formation energy: -671.5 meV per atom. Its total energy is -6.46 eV/atom.



Record 8
This record from Alexandria via LeMat-Bulk describes an optimized crystal structure of DyTmNiRu. The functional is GGA-PBE.

The structure belongs to space group P4mm (No. 99); the cell edges are 3.379, 3.379 and 6.698 Å and the angles 90.00°, 90.00° and 90.00°. The distinct sites, in fractional coordinates, are Dy at (0.000, 0.000, 0.000), Tm at (0.000, 0.000, 0.497), Ni at (0.500, 0.500, 0.743) and Ru at (0.500, 0.500, 0.253).

Its calculated volume is 76.5 Å³/f.u. The calculation puts the formation energy at -10.45 kcal/mol of atoms. Its total energy is -6.49 eV/atom. The energy above the most stable polymorph in this dataset is 0.000 eV per atom.